Material: CdHg2Bi2
Method: DFT, PBE
State: relaxed

Structure (POSCAR):
```
CdHg2Bi2
1.0
-6.4614 -4.9167 -3.4176
5.6932 -3.4866 -5.7476
0.8000 -2.7704 2.4731
Cd Bi Hg
2 4 4
direct
0.0000 0.0000 0.0000 Cd
0.5000 0.5000 0.0000 Cd
0.3605 0.8605 0.0000 Bi
0.8605 0.6395 0.0000 Bi
0.6395 0.1395 0.0000 Bi
0.1395 0.3605 0.0000 Bi
0.1602 0.6602 0.5000 Hg
0.6602 0.8398 0.5000 Hg
0.8398 0.3398 0.5000 Hg
0.3398 0.1602 0.5000 Hg
```

SG ... P4/mbm
E_form ... 0.8 eV/f.u.
Energy above the most stable polymorph in this dataset ... 96 meV/atom
Spin magnetization ... 0.000 μB per cell
Volume ... 294.80 Å³/cell